BaTmPb2 | PBE | optimized geometry

The calculation puts the size of the total moment at 0.0 Bohr magnetons per cell. The electronic total energy is -0.13766 hartree per atom. Its space-group type is P4/mmm (123). The calculation puts the formation energy from the elements at -6.8 kcal/mol of atoms.

Cell lengths 5.3403, 5.3403, 4.6767 Å; angles 90.00, 90.00, 90.00 degrees
With the nearest neighbours (Å) after each atom.
Sites, in units of the cell vectors:
Ba: 0.0000 0.0000 0.0000  8 Pb 3.55, 4 Tm 3.78
Tm: 0.5000 0.5000 0.0000  8 Pb 3.55, 4 Ba 3.78
Pb: 0.0000 0.5000 0.5000  4 Ba 3.55, 4 Tm 3.55, 4 Pb 3.78
Pb: 0.5000 0.0000 0.5000  4 Ba 3.55, 4 Tm 3.55, 4 Pb 3.78

***

Ac2Er2Pt15 | PBE | optimized geometry

The calculation puts the size of the total moment at 0.0 Bohr magnetons per cell. The electronic total energy is -0.23717 hartree per atom. Its space-group type is R-3m (166). The calculation puts the formation energy from the elements at -17.8 kcal/mol of atoms.

Cell lengths 7.1610, 7.1610, 7.1610 Å; angles 82.51, 82.51, 82.51 degrees
With the nearest neighbours (Å) after each atom.
Sites, in units of the cell vectors:
Ac: 0.1456 0.1456 0.1456  15 Pt 3.30-3.67, 1 Er 3.47
Ac: 0.8544 0.8544 0.8544  15 Pt 3.30-3.67, 1 Er 3.47
Er: 0.3945 0.3945 0.3945  6 Pt 2.86-2.91, 1 Er 2.94
Er: 0.6055 0.6055 0.6055  6 Pt 2.86-2.91, 1 Er 2.94
Pt: 0.0000 0.5000 0.5000  8 Pt 2.73-2.74, 2 Er 2.86
Pt: 0.1545 0.1545 0.6551  8 Pt 2.73-2.88, 1 Er 2.91
Pt: 0.1545 0.6551 0.1545  8 Pt 2.73-2.88, 1 Er 2.91
Pt: 0.1954 0.5000 0.8046  8 Pt 2.74-2.88
Pt: 0.1954 0.8046 0.5000  8 Pt 2.74-2.88
Pt: 0.3449 0.8455 0.8455  8 Pt 2.73-2.88, 1 Er 2.91
Pt: 0.5000 0.0000 0.5000  8 Pt 2.73-2.74, 2 Er 2.86
Pt: 0.5000 0.1954 0.8046  8 Pt 2.74-2.88
Pt: 0.5000 0.5000 0.0000  8 Pt 2.73-2.74, 2 Er 2.86
Pt: 0.5000 0.8046 0.1954  8 Pt 2.74-2.88
Pt: 0.6551 0.1545 0.1545  8 Pt 2.73-2.88, 1 Er 2.91
Pt: 0.8046 0.1954 0.5000  8 Pt 2.74-2.88
Pt: 0.8046 0.5000 0.1954  8 Pt 2.74-2.88
Pt: 0.8455 0.3449 0.8455  8 Pt 2.73-2.88, 1 Er 2.91
Pt: 0.8455 0.8455 0.3449  8 Pt 2.73-2.88, 1 Er 2.91

***

PrThSc2 | PBE | optimized geometry

The calculation puts the size of the total moment at 0.0 Bohr magnetons per cell. The electronic total energy is -0.22693 hartree per atom. Its space-group type is Cmmm (65). The calculation puts the formation energy from the elements at 0.9 kcal/mol of atoms.

Cell lengths 5.7879, 5.7879, 3.5616 Å; angles 90.00, 90.00, 104.00 degrees
With the nearest neighbours (Å) after each atom.
Sites, in units of the cell vectors:
Pr: 0.0000 0.0000 0.0000  8 Sc 3.40, 2 Pr 3.56, 2 Th 3.56
Th: 0.5000 0.5000 0.0000  8 Sc 3.40, 2 Th 3.56, 2 Pr 3.56
Sc: 0.0000 0.5000 0.5000  4 Th 3.40, 4 Pr 3.40, 4 Sc 3.56
Sc: 0.5000 0.0000 0.5000  4 Th 3.40, 4 Pr 3.40, 4 Sc 3.56

***

LiAcLaPd | PBE | optimized geometry

The calculation puts the size of the total moment at 0.0 Bohr magnetons per cell. The electronic total energy is -0.15908 hartree per atom. Its space-group type is F-43m (216). The calculation puts the formation energy from the elements at -6.8 kcal/mol of atoms.

Cell lengths 5.3833, 5.3833, 5.3833 Å; angles 60.00, 60.00, 60.00 degrees
With the nearest neighbours (Å) after each atom.
Sites, in units of the cell vectors:
Li: 0.0000 0.0000 0.0000  4 La 3.30, 4 Ac 3.30
Ac: 0.2500 0.2500 0.2500  4 Li 3.30, 4 Pd 3.30
La: 0.7500 0.7500 0.7500  4 Li 3.30, 4 Pd 3.30
Pd: 0.5000 0.5000 0.5000  4 Ac 3.30, 4 La 3.30

***

AcPmEuTh | PBE | optimized geometry

The calculation puts the size of the total moment at 8.7 Bohr magnetons per cell. The electronic total energy is -0.23465 hartree per atom. Its space-group type is F-43m (216). The calculation puts the formation energy from the elements at 5.8 kcal/mol of atoms.

Cell lengths 5.9809, 5.9809, 5.9809 Å; angles 60.00, 60.00, 60.00 degrees
With the nearest neighbours (Å) after each atom.
Sites, in units of the cell vectors:
Ac: 0.0000 0.0000 0.0000  4 Th 3.66, 4 Eu 3.66
Pm: 0.5000 0.5000 0.5000  4 Th 3.66, 4 Eu 3.66
Eu: 0.7500 0.7500 0.7500  4 Pm 3.66, 4 Ac 3.66
Th: 0.2500 0.2500 0.2500  4 Pm 3.66, 4 Ac 3.66

***

GaSCl | PBE | optimized geometry

The calculation puts the size of the total moment at 0.0 Bohr magnetons per cell. The formation energy from raw total energies comes out at -86 kJ per mole of atoms. The electronic total energy is -0.14306 hartree per atom. Its space-group type is Pmn2_1 (31).

Cell lengths 3.6950, 8.1466, 5.3825 Å; angles 90.00, 90.00, 90.00 degrees
With the nearest neighbours (Å) after each atom.
Sites, in units of the cell vectors:
Ga: 0.0000 0.1161 0.0000  1 Cl 2.15, 3 S 2.33-2.34
Ga: 0.5000 0.8839 0.5000  1 Cl 2.15, 3 S 2.33-2.34
S: 0.0000 0.8753 0.2340  3 Ga 2.33-2.34
S: 0.5000 0.1247 0.7340  3 Ga 2.33-2.34
Cl: 0.0000 0.3379 0.2168  1 Ga 2.15
Cl: 0.5000 0.6621 0.7168  1 Ga 2.15

***

Dy2BAsPt6 | PBE | optimized geometry

The calculation puts the size of the total moment at 0.0 Bohr magnetons per cell. The electronic total energy is -0.23979 hartree per atom. Its space-group type is Pmmn (59). The calculation puts the formation energy from the elements at -19.5 kcal/mol of atoms.

Cell lengths 5.7011, 8.4966, 7.4501 Å; angles 90.00, 90.00, 90.00 degrees
With the nearest neighbours (Å) after each atom.
Sites, in units of the cell vectors:
Dy: 0.2500 0.0307 0.2256  9 Pt 3.00-3.26
Dy: 0.2500 0.4693 0.2256  9 Pt 3.00-3.26
Dy: 0.7500 0.5307 0.7744  9 Pt 3.00-3.26
Dy: 0.7500 0.9693 0.7744  9 Pt 3.00-3.26
B: 0.2500 0.2500 0.7026  6 Pt 2.11-2.15
B: 0.7500 0.7500 0.2974  6 Pt 2.11-2.15
As: 0.2500 0.7500 0.8191  4 Pt 2.44-2.46
As: 0.7500 0.2500 0.1809  4 Pt 2.44-2.46
Pt: 0.0044 0.7500 0.5022  1 B 2.11
Pt: 0.0077 0.2500 0.9187  1 B 2.12
Pt: 0.2500 0.0009 0.6537  1 B 2.15
Pt: 0.2500 0.4991 0.6537  1 B 2.15
Pt: 0.4923 0.2500 0.9187  1 B 2.12
Pt: 0.4956 0.7500 0.5022  1 B 2.11
Pt: 0.5044 0.2500 0.4978  1 B 2.11
Pt: 0.5077 0.7500 0.0813  1 B 2.12
Pt: 0.7500 0.5009 0.3463  1 B 2.15
Pt: 0.7500 0.9991 0.3463  1 B 2.15
Pt: 0.9923 0.7500 0.0813  1 B 2.12
Pt: 0.9956 0.2500 0.4978  1 B 2.11

***

K2Ag3Sn4 | PBE | optimized geometry

The calculation puts the size of the total moment at 0.0 Bohr magnetons per cell. The electronic total energy is -0.11233 hartree per atom. Its space-group type is Fmmm (69). The calculation puts the formation energy from the elements at -1.9 kcal/mol of atoms.

Cell lengths 9.2910, 7.9019, 6.4498 Å; angles 79.99, 56.88, 43.13 degrees
With the nearest neighbours (Å) after each atom.
Sites, in units of the cell vectors:
K: 0.1366 0.1366 0.8634  6 Ag 3.59-3.79, 8 Sn 3.62-3.70, 1 K 4.00
K: 0.8634 0.8634 0.1366  6 Ag 3.59-3.79, 8 Sn 3.62-3.70, 1 K 4.00
Ag: 0.0000 0.0000 0.5000  4 Sn 2.87, 2 Ag 2.98
Ag: 0.5000 0.5000 0.0000  4 Sn 2.87, 2 Ag 2.98
Ag: 0.5000 0.5000 0.5000  4 Sn 3.08, 4 Ag 3.22
Sn: 0.1646 0.5203 0.4797  3 Ag 2.87-3.08, 1 Sn 3.17
Sn: 0.4797 0.8354 0.1646  3 Ag 2.87-3.08, 1 Sn 3.17
Sn: 0.5203 0.1646 0.8354  3 Ag 2.87-3.08, 1 Sn 3.17
Sn: 0.8354 0.4797 0.5203  3 Ag 2.87-3.08, 1 Sn 3.17

***

SiPt2N | PBE | optimized geometry

The calculation puts the size of the total moment at 0.0 Bohr magnetons per cell. The formation energy from raw total energies comes out at 59 kJ per mole of atoms. The electronic total energy is -0.21481 hartree per atom. Its space-group type is Fm-3m (225).

Cell lengths 4.1670, 4.1670, 4.1670 Å; angles 60.00, 60.00, 60.00 degrees
With the nearest neighbours (Å) after each atom.
Sites, in units of the cell vectors:
Si: 0.0000 0.0000 0.0000  8 Pt 2.55
Pt: 0.2500 0.2500 0.2500  4 Si 2.55, 4 N 2.55
Pt: 0.7500 0.7500 0.7500  4 Si 2.55, 4 N 2.55
N: 0.5000 0.5000 0.5000  8 Pt 2.55

***

NiIrSe2N | PBE | optimized geometry

The calculation puts the size of the total moment at 0.0 Bohr magnetons per cell. The formation energy from raw total energies comes out at 79 kJ per mole of atoms. The electronic total energy is -0.18981 hartree per atom. Its space-group type is P4/mmm (123).

Cell lengths 4.8555, 4.8555, 3.3008 Å; angles 90.00, 90.00, 90.00 degrees
With the nearest neighbours (Å) after each atom.
Sites, in units of the cell vectors:
Ni: 0.0000 0.0000 0.0000  2 N 1.65
Ir: 0.5000 0.5000 0.5000  8 Se 2.94
Se: 0.0000 0.5000 0.0000  2 Ni 2.43
Se: 0.5000 0.0000 0.0000  2 Ni 2.43
N: 0.0000 0.0000 0.5000  2 Ni 1.65

***

Tl4CrMo | PBE | optimized geometry

The calculation puts the size of the total moment at 9.1 Bohr magnetons per cell. The electronic total energy is -0.14094 hartree per atom. Its space-group type is F-43m (216). The calculation puts the formation energy from the elements at 26.5 kcal/mol of atoms.

Cell lengths 6.1991, 6.1991, 6.1991 Å; angles 60.00, 60.00, 60.00 degrees
With the nearest neighbours (Å) after each atom.
Sites, in units of the cell vectors:
Tl: 0.1251 0.1251 0.1251  6 Tl 3.10
Tl: 0.1251 0.1251 0.6247  6 Tl 3.10
Tl: 0.1251 0.6247 0.1251  6 Tl 3.10
Tl: 0.6247 0.1251 0.1251  6 Tl 3.10
Cr: 0.7500 0.7500 0.7500  12 Tl 3.63, 4 Mo 3.80
Mo: 0.5000 0.5000 0.5000  12 Tl 3.63, 4 Cr 3.80

***

Ge3WSe | PBE | optimized geometry

The calculation puts the size of the total moment at 0.0 Bohr magnetons per cell. The formation energy from raw total energies comes out at 160 kJ per mole of atoms. The electronic total energy is -0.16165 hartree per atom. Its space-group type is Pm-3m (221).

Cell lengths 4.8227, 4.8227, 4.8227 Å; angles 90.00, 90.00, 90.00 degrees
With the nearest neighbours (Å) after each atom.
Sites, in units of the cell vectors:
Ge: 0.0000 0.0000 0.5000  2 Se 2.41
Ge: 0.0000 0.5000 0.0000  2 Se 2.41
Ge: 0.5000 0.0000 0.0000  2 Se 2.41
W: 0.5000 0.5000 0.5000  12 Ge 3.41
Se: 0.0000 0.0000 0.0000  6 Ge 2.41